1.
GGA-PBE SnNF3, relaxed; space group = No. 221
1.0
4.3422 0.0000 0.0000
0.0000 4.3422 0.0000
0.0000 0.0000 4.3422
Sn N F
1 1 3
direct
0.0000 0.0000 0.0000
0.5000 0.5000 0.5000
0.0000 0.0000 0.5000
0.0000 0.5000 0.0000
0.5000 0.0000 0.0000

=====

2.
GGA-PBE SnN2F6, relaxed; space group = No. 164
1.0
5.3549 0.0000 0.0000
-2.6775 4.6375 0.0000
0.0000 0.0000 5.2091
Sn N F
1 2 6
direct
0.0000 0.0000 0.0000
0.3333 0.6667 0.2855
0.6667 0.3333 0.7145
0.1713 0.3426 0.7667
0.1713 0.8287 0.7667
0.3426 0.1713 0.2333
0.6574 0.8287 0.7667
0.8287 0.1713 0.2333
0.8287 0.6574 0.2333

=====

3.
GGA-PBE SnNF, relaxed; space group = No. 71
1.0
-1.5704 2.3241 7.6572
1.5704 -2.3241 7.6572
1.5704 2.3241 -7.6572
Sn N F
2 2 2
direct
0.1523 0.1523 0.0000
0.8477 0.8477 0.0000
0.3775 0.0000 0.3775
0.6225 0.0000 0.6225
0.2947 0.2947 0.0000
0.7053 0.7053 0.0000

=====

4.
GGA-PBE SnN2F2, relaxed; space group = No. 1
1.0
3.8770 0.0000 0.0000
-1.9161 3.6563 0.0000
-0.4851 -1.3530 7.9037
Sn N F
1 2 2
direct
0.0000 0.0000 0.0000
0.8935 0.8292 0.5474
0.9992 0.9700 0.4370
0.2945 0.5657 0.1192
0.5608 0.1593 0.8777

=====

5.
GGA-PBE SnNF3, relaxed; space group = No. 12
1.0
5.3999 -3.1198 0.0000
5.3999 3.1198 0.0000
-3.6537 0.0000 5.7242
Sn N F
2 2 6
direct
0.1663 0.1663 0.4989
0.8337 0.8337 0.5011
0.3956 0.3956 0.1923
0.6044 0.6044 0.8077
0.0724 0.5733 0.7162
0.0734 0.0734 0.7162
0.4267 0.9276 0.2838
0.5733 0.0724 0.7162
0.9266 0.9266 0.2838
0.9276 0.4267 0.2838

=====

6.
GGA-PBE SnNF, relaxed; space group = No. 6
1.0
4.1416 0.0000 0.0000
0.0000 3.5034 0.0000
-1.6384 0.0000 5.3965
Sn N F
2 2 2
direct
0.0000 0.0000 0.0000
0.2949 0.5000 0.5414
0.3294 0.0000 0.3568
0.9304 0.5000 0.7598
0.4646 0.0000 0.8689
0.8038 0.5000 0.1989

=====

7.
GGA-PBE SnNF, relaxed; space group = No. 59
1.0
3.3620 0.0000 0.0000
0.0000 4.1822 0.0000
0.0000 0.0000 6.2902
Sn N F
2 2 2
direct
0.2500 0.2500 0.1452
0.7500 0.7500 0.8548
0.2500 0.7500 0.0842
0.7500 0.2500 0.9158
0.2500 0.7500 0.6314
0.7500 0.2500 0.3686

=====

8.
GGA-PBE SnNF3, relaxed; space group = No. 148
1.0
3.0059 1.7354 5.4680
-3.0059 1.7354 5.4680
0.0000 -3.4709 5.4680
Sn N F
2 2 6
direct
0.1909 0.1909 0.1909
0.8091 0.8091 0.8091
0.3191 0.3191 0.3191
0.6809 0.6809 0.6809
0.1207 0.3801 0.8426
0.1574 0.8793 0.6199
0.3801 0.8426 0.1207
0.6199 0.1574 0.8793
0.8426 0.1207 0.3801
0.8793 0.6199 0.1574

=====

9.
GGA-PBE SnNF, relaxed; space group = No. 62
1.0
7.1379 0.0000 0.0000
0.0000 3.6039 0.0000
0.0000 0.0000 5.6820
Sn N F
4 4 4
direct
0.1650 0.2500 0.1256
0.3350 0.7500 0.6256
0.6650 0.2500 0.3744
0.8350 0.7500 0.8744
0.1425 0.7500 0.9073
0.3575 0.2500 0.4073
0.6425 0.7500 0.5927
0.8575 0.2500 0.0927
0.0788 0.7500 0.3702
0.4212 0.2500 0.8702
0.5788 0.7500 0.1298
0.9212 0.2500 0.6298

=====

10.
GGA-PBE SnNF3, relaxed; space group = No. 2
1.0
3.4746 0.0000 0.0000
1.7357 6.3979 0.0000
0.5729 0.6213 6.6208
Sn N F
2 2 6
direct
0.1445 0.2290 0.4461
0.8555 0.7710 0.5539
0.3260 0.8885 0.3758
0.6740 0.1115 0.6242
0.0127 0.5338 0.3182
0.3262 0.7645 0.7510
0.3731 0.8600 0.1678
0.6269 0.1400 0.8322
0.6738 0.2355 0.2490
0.9873 0.4662 0.6818

=====

11.
GGA-PBE Sr6Sn2NF, relaxed; space group = No. 225
1.0
0.0000 5.2536 5.2536
5.2536 0.0000 5.2536
5.2536 5.2536 0.0000
Sr Sn N F
6 2 1 1
direct
0.2415 0.2415 0.7585
0.2415 0.7585 0.2415
0.2415 0.7585 0.7585
0.7585 0.2415 0.2415
0.7585 0.2415 0.7585
0.7585 0.7585 0.2415
0.2500 0.2500 0.2500
0.7500 0.7500 0.7500
0.0000 0.0000 0.0000
0.5000 0.5000 0.5000

=====

12.
GGA-PBE SrSnN2F, relaxed; space group = No. 123
1.0
4.8896 0.0000 0.0000
0.0000 4.8896 0.0000
0.0000 0.0000 4.4749
Sr Sn N F
1 1 2 1
direct
0.0000 0.0000 0.0000
0.5000 0.5000 0.5000
0.0000 0.5000 0.0000
0.5000 0.0000 0.0000
0.0000 0.0000 0.5000

=====

13.
GGA-PBE SrSnN2F, relaxed; space group = No. 123
1.0
4.1469 0.0000 0.0000
0.0000 4.1469 0.0000
0.0000 0.0000 4.4089
Sr Sn N F
1 1 2 1
direct
0.0000 0.0000 0.0000
0.5000 0.5000 0.5000
0.0000 0.5000 0.5000
0.5000 0.0000 0.5000
0.5000 0.5000 0.0000

=====

14.
GGA-PBE SrSnNF2, relaxed; space group = No. 123
1.0
4.5108 0.0000 0.0000
0.0000 4.5108 0.0000
0.0000 0.0000 5.1215
Sr Sn N F
1 1 1 2
direct
0.0000 0.0000 0.0000
0.5000 0.5000 0.5000
0.0000 0.0000 0.5000
0.0000 0.5000 0.0000
0.5000 0.0000 0.0000

=====

15.
GGA-PBE SrSnNF2, relaxed; space group = No. 123
1.0
4.5480 0.0000 0.0000
0.0000 4.5480 0.0000
0.0000 0.0000 4.2972
Sr Sn N F
1 1 1 2
direct
0.0000 0.0000 0.0000
0.5000 0.5000 0.5000
0.5000 0.5000 0.0000
0.0000 0.5000 0.5000
0.5000 0.0000 0.5000

=====

16.
GGA-PBE TaSnN2F, relaxed; space group = No. 123
1.0
4.1455 0.0000 0.0000
0.0000 4.1455 0.0000
0.0000 0.0000 4.0837
Ta Sn N F
1 1 2 1
direct
0.0000 0.0000 0.0000
0.5000 0.5000 0.5000
0.0000 0.5000 0.0000
0.5000 0.0000 0.0000
0.0000 0.0000 0.5000

=====

17.
GGA-PBE TaSnN2F, relaxed; space group = No. 123
1.0
4.1623 0.0000 0.0000
0.0000 4.1623 0.0000
0.0000 0.0000 3.9064
Ta Sn N F
1 1 2 1
direct
0.0000 0.0000 0.0000
0.5000 0.5000 0.5000
0.0000 0.5000 0.5000
0.5000 0.0000 0.5000
0.5000 0.5000 0.0000

=====

18.
GGA-PBE TaSnNF2, relaxed; space group = No. 123
1.0
4.2391 0.0000 0.0000
0.0000 4.2391 0.0000
0.0000 0.0000 4.4111
Ta Sn N F
1 1 1 2
direct
0.0000 0.0000 0.0000
0.5000 0.5000 0.5000
0.5000 0.5000 0.0000
0.0000 0.5000 0.5000
0.5000 0.0000 0.5000

=====

19.
GGA-PBE TaSnNF2, relaxed; space group = No. 123
1.0
4.2911 0.0000 0.0000
0.0000 4.2911 0.0000
0.0000 0.0000 4.0602
Ta Sn N F
1 1 1 2
direct
0.0000 0.0000 0.0000
0.5000 0.5000 0.5000
0.0000 0.0000 0.5000
0.0000 0.5000 0.0000
0.5000 0.0000 0.0000

=====

20.
GGA-PBE TcSnNF2, relaxed; space group = No. 123
1.0
4.3480 0.0000 0.0000
0.0000 4.3480 0.0000
0.0000 0.0000 3.8307
Tc Sn N F
1 1 1 2
direct
0.0000 0.0000 0.0000
0.5000 0.5000 0.5000
0.0000 0.0000 0.5000
0.0000 0.5000 0.0000
0.5000 0.0000 0.0000

=====

21.
GGA-PBE TcSnNF2, relaxed; space group = No. 123
1.0
4.3716 0.0000 0.0000
0.0000 4.3716 0.0000
0.0000 0.0000 4.0679
Tc Sn N F
1 1 1 2
direct
0.0000 0.0000 0.0000
0.5000 0.5000 0.5000
0.5000 0.5000 0.0000
0.0000 0.5000 0.5000
0.5000 0.0000 0.5000

=====

22.
GGA-PBE SnTe2NF, relaxed; space group = No. 123
1.0
5.9091 0.0000 0.0000
0.0000 5.9091 0.0000
0.0000 0.0000 3.8928
Sn Te N F
1 2 1 1
direct
0.0000 0.0000 0.0000
0.0000 0.5000 0.0000
0.5000 0.0000 0.0000
0.0000 0.0000 0.5000
0.5000 0.5000 0.5000

=====

23.
GGA-PBE SnTeNF2, relaxed; space group = No. 123
1.0
4.2919 0.0000 0.0000
0.0000 4.2919 0.0000
0.0000 0.0000 4.3732
Sn Te N F
1 1 1 2
direct
0.0000 0.0000 0.0000
0.5000 0.5000 0.5000
0.0000 0.0000 0.5000
0.0000 0.5000 0.0000
0.5000 0.0000 0.0000

=====

24.
GGA-PBE SnTe2NF, relaxed; space group = No. 123
1.0
4.7881 0.0000 0.0000
0.0000 4.7881 0.0000
0.0000 0.0000 4.6819
Sn Te N F
1 2 1 1
direct
0.0000 0.0000 0.0000
0.0000 0.5000 0.5000
0.5000 0.0000 0.5000
0.5000 0.5000 0.0000
0.5000 0.5000 0.5000

=====

25.
GGA-PBE SnTeNF2, relaxed; space group = No. 123
1.0
4.6741 0.0000 0.0000
0.0000 4.6741 0.0000
0.0000 0.0000 4.1684
Sn Te N F
1 1 1 2
direct
0.0000 0.0000 0.0000
0.5000 0.5000 0.5000
0.5000 0.5000 0.0000
0.0000 0.5000 0.5000
0.5000 0.0000 0.5000

=====

26.
GGA-PBE TiSnNF2, relaxed; space group = No. 123
1.0
4.3139 0.0000 0.0000
0.0000 4.3139 0.0000
0.0000 0.0000 4.2226
Ti Sn N F
1 1 1 2
direct
0.0000 0.0000 0.0000
0.5000 0.5000 0.5000
0.5000 0.5000 0.0000
0.0000 0.5000 0.5000
0.5000 0.0000 0.5000

=====

27.
GGA-PBE TiSnNF2, relaxed; space group = No. 123
1.0
4.1338 0.0000 0.0000
0.0000 4.1338 0.0000
0.0000 0.0000 4.0276
Ti Sn N F
1 1 1 2
direct
0.0000 0.0000 0.0000
0.5000 0.5000 0.5000
0.0000 0.0000 0.5000
0.0000 0.5000 0.0000
0.5000 0.0000 0.0000

=====

| no. | calculated density (g cm⁻³) | E_form (uncorrected) (eV/atom) |
| --- | --- | --- |
| 1 | 3.8 | -0.81 |
| 2 | 3.3 | -0.10 |
| 3 | 4.5 | -0.84 |
| 4 | 2.7 | -1.28 |
| 5 | 3.3 | -0.72 |
| 6 | 6.4 | -0.79 |
| 7 | 5.7 | -0.80 |
| 8 | 3.7 | -1.00 |
| 9 | 6.9 | -0.92 |
| 10 | 4.3 | -1.17 |
| 11 | 4.6 | -1.17 |
| 12 | 3.9 | 0.39 |
| 13 | 5.5 | -0.68 |
| 14 | 4.1 | -1.16 |
| 15 | 4.8 | -1.55 |
| 16 | 8.2 | -0.70 |
| 17 | 8.5 | 0.67 |
| 18 | 7.4 | 0.20 |
| 19 | 7.8 | -1.11 |
| 20 | 6.2 | -0.63 |
| 21 | 5.7 | 0.00 |
| 22 | 5.0 | 0.74 |
| 23 | 6.1 | -0.42 |
| 24 | 6.3 | 0.84 |
| 25 | 5.4 | -0.31 |
| 26 | 4.6 | -0.52 |
| 27 | 5.3 | -1.53 |